Record 1
Entry from Alexandria: Dy3IrAu2 after structural relaxation (PBE).

Computed properties:
Final energy ... -0.42065 Ry/atom
Magnetic moment ... 0.000 μB/cell
Distance to the lowest polymorph of the same formula ... 0.000 eV per atom

a b c (Å): 5.0001 7.1526 7.8730
angles (deg): 90.00 108.46 90.00
Space group P2/m (No. 10)
Symmetry-distinct sites (fractional):
Dy1 0.0000 0.2407 0.0000 x2
Dy2 0.3292 0.2364 0.6588 x4
Ir1 0.1668 0.0000 0.3325 x2
Au1 0.1665 0.5000 0.3335 x2
Au2 0.5000 0.0000 0.0000 x1
Au3 0.5000 0.5000 0.0000 x1

---

Record 2
Entry from Alexandria: PmNbMo after structural relaxation (PBE).

Computed properties:
Final energy ... -0.60170 Ry/atom
Magnetic moment ... 0.000 μB/cell

a b c (Å): 7.7569 4.4888 8.6731
angles (deg): 90.00 107.38 90.00
Space group C2/m (No. 12)
Symmetry-distinct sites (fractional):
Pm1 0.2176 0.0000 0.1512 x4
Nb1 0.0523 0.0000 0.6575 x4
Mo1 0.1477 0.5000 0.4452 x4

---

Record 3
Entry from Alexandria: LaTaCl after structural relaxation (PBE).

Computed properties:
Final energy ... -0.45909 Ry/atom
Magnetic moment ... 0.000 μB/cell
Distance to the lowest polymorph of the same formula ... 0.098 eV per atom
E_form (uncorrected) ... -37.3 meV/atom

a b c (Å): 3.1629 3.1629 13.6286
angles (deg): 90.00 90.00 90.00
Space group I4mm (No. 107)
Symmetry-distinct sites (fractional):
La1 0.0000 0.0000 0.0000 x2
Ta1 0.0000 0.0000 0.6753 x2
Cl1 0.0000 0.0000 0.3184 x2

---

Record 4
Entry from Alexandria: HfFe3Au after structural relaxation (PBE).

Computed properties:
Final energy ... -0.46164 Ry/atom
Magnetic moment ... 5.711 μB/cell
Distance to the lowest polymorph of the same formula ... 0.229 eV per atom

a b c (Å): 4.5335 4.5335 4.5335
angles (deg): 90.00 90.00 90.00
Space group Pm-3m (No. 221)
Symmetry-distinct sites (fractional):
Hf1 0.0000 0.0000 0.0000 x1
Fe1 0.0000 0.0000 0.5000 x3
Au1 0.5000 0.5000 0.5000 x1

---

Record 5
Entry from Alexandria: La3DyTm after structural relaxation (PBE).

Computed properties:
Final energy ... -0.34731 Ry/atom
Magnetic moment ... 0.000 μB/cell
Distance to the lowest polymorph of the same formula ... 0.000 eV per atom

a b c (Å): 5.5920 17.2401 7.1842
angles (deg): 90.00 90.00 90.00
Space group Cmc2_1 (No. 36)
Symmetry-distinct sites (fractional):
La1 0.0000 0.9995 0.0000 x4
La2 0.0000 0.2005 0.4944 x4
La3 0.0000 0.3915 0.2495 x4
Dy1 0.0000 0.3892 0.7426 x4
Tm1 0.0000 0.1974 0.9956 x4

---

Record 6
Entry from Alexandria: Sr4CuNi after structural relaxation (PBE).

Computed properties:
Final energy ... -0.12904 Ry/atom
Magnetic moment ... 0.038 μB/cell

a b c (Å): 9.8606 9.8606 9.8606
angles (deg): 90.00 90.00 90.00
Space group F-43m (No. 216)
Symmetry-distinct sites (fractional):
Sr1 0.1253 0.1253 0.1253 x16
Cu1 0.2500 0.2500 0.7500 x4
Ni1 0.0000 0.0000 0.5000 x4

---

Record 7
Entry from Alexandria: CoPbBr2 after structural relaxation (PBE).

Computed properties:
Final energy ... -0.22340 Ry/atom
Magnetic moment ... 11.059 μB/cell
Distance to the lowest polymorph of the same formula ... 0.682 eV per atom
E_form (uncorrected) ... 500.5 meV/atom

a b c (Å): 7.4493 7.4493 7.4493
angles (deg): 90.00 90.00 90.00
Space group F-43m (No. 216)
Symmetry-distinct sites (fractional):
Co1 0.0000 0.0000 0.0000 x4
Pb1 0.2500 0.2500 0.7500 x4
Br1 0.0000 0.0000 0.5000 x4
Br2 0.2500 0.2500 0.2500 x4

---

Record 8
Entry from Alexandria: KMg2Sb after structural relaxation (PBE).

Computed properties:
Final energy ... -0.14505 Ry/atom
Magnetic moment ... 0.000 μB/cell
E_form (uncorrected) ... 128.7 meV/atom

a b c (Å): 3.4945 3.4945 33.8804
angles (deg): 90.00 90.00 120.00
Space group R-3m (No. 166, hexagonal axes)
Symmetry-distinct sites (fractional):
K1 0.0000 0.0000 0.0000 x3
Mg1 0.0000 0.0000 0.2394 x6
Sb1 0.0000 0.0000 0.5000 x3